Version a
# BaIrN2 | Alexandria | GGA-PBE | optimized geometry
data_BaIrN2
_chemical_formula_sum 'Ba4 Ir4 N8'
_cell_length_a 5.2340
_cell_length_b 5.2340
_cell_length_c 10.5407
_cell_angle_alpha 90.00
_cell_angle_beta 90.00
_cell_angle_gamma 90.00
_symmetry_space_group_name_H-M 'I -4 2 d'
_symmetry_Int_Tables_number 122
_symmetry_space_group_name_Hall 'I -4 2bw'
loop_
_atom_site_label
_atom_site_fract_x
_atom_site_fract_y
_atom_site_fract_z
_atom_site_occupancy
Ba1 0.0000 0.0000 0.0000 1
Ir1 0.0000 0.0000 0.5000 1
N1 0.1205 0.2500 0.6250 1
# Fermi-level density of states	0.582	states/eV per atom
# spin magnetization	0.0000	μB per atom

---

Version b
# BaIrN2 | Alexandria | GGA-PBE | optimized geometry
data_BaIrN2
_chemical_formula_sum 'Ba8 Ir8 N16'
_cell_length_a 6.1032
_cell_length_b 13.5266
_cell_length_c 7.6610
_cell_angle_alpha 90.00
_cell_angle_beta 90.00
_cell_angle_gamma 90.00
_symmetry_space_group_name_H-M 'C m c e'
_symmetry_Int_Tables_number 64
_symmetry_space_group_name_Hall '-C 2ac 2'
loop_
_atom_site_label
_atom_site_fract_x
_atom_site_fract_y
_atom_site_fract_z
_atom_site_occupancy
Ba1 0.0000 0.1397 0.0827 1
Ir1 0.0000 0.0879 0.6341 1
N1 0.0000 0.1693 0.4478 1
N2 0.2500 0.0355 0.7500 1
# Fermi-level density of states	0.557	states/eV per atom
# spin magnetization	0.1818	μB per atom

---

Most stable one: version b, least stable one: version a.

---

Version a
# BaIrN2 | Alexandria | GGA-PBE | optimized geometry
data_BaIrN2
_chemical_formula_sum 'Ba4 Ir4 N8'
_cell_length_a 6.1729
_cell_length_b 6.1729
_cell_length_c 6.1729
_cell_angle_alpha 90.00
_cell_angle_beta 90.00
_cell_angle_gamma 90.00
_symmetry_space_group_name_H-M 'F m -3 m'
_symmetry_Int_Tables_number 225
_symmetry_space_group_name_Hall '-F 4 2 3'
loop_
_atom_site_label
_atom_site_fract_x
_atom_site_fract_y
_atom_site_fract_z
_atom_site_occupancy
Ba1 0.0000 0.0000 0.0000 1
Ir1 0.0000 0.0000 0.5000 1
N1 0.2500 0.2500 0.2500 1
# Fermi-level density of states	0.543	states/eV per atom
# spin magnetization	0.0000	μB per atom

---

Version b
# BaIrN2 | Alexandria | GGA-PBE | optimized geometry
data_BaIrN2
_chemical_formula_sum 'Ba3 Ir3 N6'
_cell_length_a 4.2163
_cell_length_b 4.2163
_cell_length_c 18.7037
_cell_angle_alpha 90.00
_cell_angle_beta 90.00
_cell_angle_gamma 120.00
_symmetry_space_group_name_H-M 'R -3 m'
_symmetry_Int_Tables_number 166
_symmetry_space_group_name_Hall '-R 3 2"'
loop_
_atom_site_label
_atom_site_fract_x
_atom_site_fract_y
_atom_site_fract_z
_atom_site_occupancy
Ba1 0.0000 0.0000 0.0000 1
Ir1 0.0000 0.0000 0.5000 1
N1 0.0000 0.0000 0.4048 1
# Fermi-level density of states	0.438	states/eV per atom
# spin magnetization	0.0000	μB per atom

---

Most stable one: version b, least stable one: version a.

---

Version a
# Ba2IrPbN | Alexandria | GGA-PBE | optimized geometry
data_Ba2IrPbN
_chemical_formula_sum 'Ba2 Ir1 Pb1 N1'
_cell_length_a 6.4850
_cell_length_b 6.4850
_cell_length_c 3.7396
_cell_angle_alpha 90.00
_cell_angle_beta 90.00
_cell_angle_gamma 90.00
_symmetry_space_group_name_H-M 'P 4/m m m'
_symmetry_Int_Tables_number 123
_symmetry_space_group_name_Hall '-P 4 2'
loop_
_atom_site_label
_atom_site_fract_x
_atom_site_fract_y
_atom_site_fract_z
_atom_site_occupancy
Ba1 0.0000 0.5000 0.0000 1
Ir1 0.0000 0.0000 0.0000 1
Pb1 0.5000 0.5000 0.5000 1
N1 0.0000 0.0000 0.5000 1
# Fermi-level density of states	0.697	states/eV per atom
# spin magnetization	0.0000	μB per atom

---

Version b
# Ba2IrPbN | Alexandria | GGA-PBE | optimized geometry
data_Ba2IrPbN
_chemical_formula_sum 'Ba2 Ir1 Pb1 N1'
_cell_length_a 6.1286
_cell_length_b 6.1286
_cell_length_c 3.7826
_cell_angle_alpha 90.00
_cell_angle_beta 90.00
_cell_angle_gamma 90.00
_symmetry_space_group_name_H-M 'P 4/m m m'
_symmetry_Int_Tables_number 123
_symmetry_space_group_name_Hall '-P 4 2'
loop_
_atom_site_label
_atom_site_fract_x
_atom_site_fract_y
_atom_site_fract_z
_atom_site_occupancy
Ba1 0.0000 0.5000 0.0000 1
Ir1 0.0000 0.0000 0.5000 1
Pb1 0.5000 0.5000 0.5000 1
N1 0.0000 0.0000 0.0000 1
# Fermi-level density of states	0.617	states/eV per atom
# spin magnetization	0.0000	μB per atom

---

Most stable one: version b, least stable one: version a.

---

Version a
# BaIrS2N | Alexandria | GGA-PBE | optimized geometry
data_BaIrS2N
_chemical_formula_sum 'Ba1 Ir1 S2 N1'
_cell_length_a 5.7217
_cell_length_b 5.7217
_cell_length_c 4.5935
_cell_angle_alpha 90.00
_cell_angle_beta 90.00
_cell_angle_gamma 90.00
_symmetry_space_group_name_H-M 'P 4/m m m'
_symmetry_Int_Tables_number 123
_symmetry_space_group_name_Hall '-P 4 2'
loop_
_atom_site_label
_atom_site_fract_x
_atom_site_fract_y
_atom_site_fract_z
_atom_site_occupancy
Ba1 0.0000 0.0000 0.0000 1
Ir1 0.5000 0.5000 0.5000 1
S1 0.0000 0.5000 0.0000 1
N1 0.0000 0.0000 0.5000 1
# Fermi-level density of states	1.249	states/eV per atom
# spin magnetization	0.8983	μB per atom

---

Version b
# BaIrS2N | Alexandria | GGA-PBE | optimized geometry
data_BaIrS2N
_chemical_formula_sum 'Ba1 Ir1 S2 N1'
_cell_length_a 5.1309
_cell_length_b 5.1309
_cell_length_c 3.7666
_cell_angle_alpha 90.00
_cell_angle_beta 90.00
_cell_angle_gamma 90.00
_symmetry_space_group_name_H-M 'P 4/m m m'
_symmetry_Int_Tables_number 123
_symmetry_space_group_name_Hall '-P 4 2'
loop_
_atom_site_label
_atom_site_fract_x
_atom_site_fract_y
_atom_site_fract_z
_atom_site_occupancy
Ba1 0.0000 0.0000 0.0000 1
Ir1 0.5000 0.5000 0.5000 1
S1 0.0000 0.5000 0.5000 1
N1 0.5000 0.5000 0.0000 1
# Fermi-level density of states	0.656	states/eV per atom
# spin magnetization	0.0000	μB per atom

---

Most stable one: version b, least stable one: version a.

---

Version a
# BaY2IrN | Alexandria | GGA-PBE | optimized geometry
data_BaY2IrN
_chemical_formula_sum 'Ba1 Y2 Ir1 N1'
_cell_length_a 5.7052
_cell_length_b 5.7052
_cell_length_c 4.9643
_cell_angle_alpha 90.00
_cell_angle_beta 90.00
_cell_angle_gamma 90.00
_symmetry_space_group_name_H-M 'P 4/m m m'
_symmetry_Int_Tables_number 123
_symmetry_space_group_name_Hall '-P 4 2'
loop_
_atom_site_label
_atom_site_fract_x
_atom_site_fract_y
_atom_site_fract_z
_atom_site_occupancy
Ba1 0.0000 0.0000 0.0000 1
Y1 0.0000 0.5000 0.0000 1
Ir1 0.0000 0.0000 0.5000 1
N1 0.5000 0.5000 0.5000 1
# Fermi-level density of states	1.014	states/eV per atom
# spin magnetization	0.2419	μB per atom

---

Version b
# BaY2IrN | Alexandria | GGA-PBE | optimized geometry
data_BaY2IrN
_chemical_formula_sum 'Ba1 Y2 Ir1 N1'
_cell_length_a 5.7166
_cell_length_b 5.7166
_cell_length_c 4.2010
_cell_angle_alpha 90.00
_cell_angle_beta 90.00
_cell_angle_gamma 90.00
_symmetry_space_group_name_H-M 'P 4/m m m'
_symmetry_Int_Tables_number 123
_symmetry_space_group_name_Hall '-P 4 2'
loop_
_atom_site_label
_atom_site_fract_x
_atom_site_fract_y
_atom_site_fract_z
_atom_site_occupancy
Ba1 0.0000 0.0000 0.0000 1
Y1 0.0000 0.5000 0.0000 1
Ir1 0.5000 0.5000 0.5000 1
N1 0.0000 0.0000 0.5000 1
# Fermi-level density of states	0.983	states/eV per atom
# spin magnetization	0.0072	μB per atom

---

Most stable one: version b, least stable one: version a.

---

Version a
# Ba2NaIr2 | Alexandria | GGA-PBE | optimized geometry
data_Ba2NaIr2
_chemical_formula_sum 'Ba4 Na2 Ir4'
_cell_length_a 8.1381
_cell_length_b 8.1381
_cell_length_c 4.6141
_cell_angle_alpha 90.00
_cell_angle_beta 90.00
_cell_angle_gamma 90.00
_symmetry_space_group_name_H-M 'P 4/m b m'
_symmetry_Int_Tables_number 127
_symmetry_space_group_name_Hall '-P 4 2ab'
loop_
_atom_site_label
_atom_site_fract_x
_atom_site_fract_y
_atom_site_fract_z
_atom_site_occupancy
Ba1 0.1749 0.3251 0.0000 1
Na1 0.0000 0.0000 0.5000 1
Ir1 0.1068 0.6068 0.5000 1
# Fermi-level density of states	1.382	states/eV per atom
# spin magnetization	0.2040	μB per atom

---

Version b
# Ba2NaIr2 | Alexandria | GGA-PBE | optimized geometry
data_Ba2NaIr2
_chemical_formula_sum 'Ba2 Na1 Ir2'
_cell_length_a 4.5680
_cell_length_b 4.7932
_cell_length_c 8.3227
_cell_angle_alpha 90.00
_cell_angle_beta 105.75
_cell_angle_gamma 90.00
_symmetry_space_group_name_H-M 'P 1 2/m 1'
_symmetry_Int_Tables_number 10
_symmetry_space_group_name_Hall '-P 2y'
loop_
_atom_site_label
_atom_site_fract_x
_atom_site_fract_y
_atom_site_fract_z
_atom_site_occupancy
Ba1 0.1462 0.0000 0.2907 1
Na1 0.5000 0.5000 0.0000 1
Ir1 0.2752 0.5000 0.5507 1
# Fermi-level density of states	0.728	states/eV per atom
# spin magnetization	0.0000	μB per atom

---

Most stable one: version b, least stable one: version a.

---

Version a
# Ba4NaIr | Alexandria | GGA-PBE | optimized geometry
data_Ba4NaIr
_chemical_formula_sum 'Ba16 Na4 Ir4'
_cell_length_a 10.5594
_cell_length_b 14.9694
_cell_length_c 7.5910
_cell_angle_alpha 90.00
_cell_angle_beta 108.36
_cell_angle_gamma 90.00
_symmetry_space_group_name_H-M 'C 1 2/c 1'
_symmetry_Int_Tables_number 15
_symmetry_space_group_name_Hall '-C 2yc'
loop_
_atom_site_label
_atom_site_fract_x
_atom_site_fract_y
_atom_site_fract_z
_atom_site_occupancy
Ba1 0.0983 0.1560 0.0476 1
Ba2 0.2411 0.4218 0.3871 1
Na1 0.0000 0.3724 0.7500 1
Ir1 0.0000 0.0007 0.7500 1
# Fermi-level density of states	0.833	states/eV per atom
# spin magnetization	0.0000	μB per atom

---

Version b
# Ba4NaIr | Alexandria | GGA-PBE | optimized geometry
data_Ba4NaIr
_chemical_formula_sum 'Ba16 Na4 Ir4'
_cell_length_a 11.5174
_cell_length_b 10.0313
_cell_length_c 12.1227
_cell_angle_alpha 90.00
_cell_angle_beta 121.73
_cell_angle_gamma 90.00
_symmetry_space_group_name_H-M 'P 1 21/c 1'
_symmetry_Int_Tables_number 14
_symmetry_space_group_name_Hall '-P 2ybc'
loop_
_atom_site_label
_atom_site_fract_x
_atom_site_fract_y
_atom_site_fract_z
_atom_site_occupancy
Ba1 0.0914 0.1886 0.0456 1
Ba2 0.1768 0.5634 0.2851 1
Ba3 0.1767 0.5634 0.8920 1
Ba4 0.4060 0.2500 0.4527 1
Na1 0.4076 0.5681 0.7041 1
Ir1 0.0911 0.2500 0.2954 1
# Fermi-level density of states	0.866	states/eV per atom
# spin magnetization	0.0000	μB per atom

---

Most stable one: version b, least stable one: version a.

---

Version a
# BaNaIr | Alexandria | GGA-PBE | optimized geometry
data_BaNaIr
_chemical_formula_sum 'Ba2 Na2 Ir2'
_cell_length_a 4.3961
_cell_length_b 4.3964
_cell_length_c 14.4024
_cell_angle_alpha 81.27
_cell_angle_beta 81.24
_cell_angle_gamma 60.01
_symmetry_space_group_name_H-M 'P -1'
_symmetry_Int_Tables_number 2
_symmetry_space_group_name_Hall '-P 1'
loop_
_atom_site_label
_atom_site_fract_x
_atom_site_fract_y
_atom_site_fract_z
_atom_site_occupancy
Ba1 0.0504 0.0498 0.3490 1
Na1 0.1976 0.1998 0.9048 1
Ir1 0.3334 0.3334 0.4999 1
# Fermi-level density of states	1.083	states/eV per atom
# spin magnetization	0.0000	μB per atom

---

Version b
# BaNaIr | Alexandria | GGA-PBE | optimized geometry
data_BaNaIr
_chemical_formula_sum 'Ba4 Na4 Ir4'
_cell_length_a 16.3224
_cell_length_b 4.5949
_cell_length_c 5.6910
_cell_angle_alpha 90.00
_cell_angle_beta 102.44
_cell_angle_gamma 90.00
_symmetry_space_group_name_H-M 'C 1 2/m 1'
_symmetry_Int_Tables_number 12
_symmetry_space_group_name_Hall '-C 2y'
loop_
_atom_site_label
_atom_site_fract_x
_atom_site_fract_y
_atom_site_fract_z
_atom_site_occupancy
Ba1 0.1453 0.0000 0.3449 1
Na1 0.0870 0.5000 0.8070 1
Ir1 0.2398 0.0000 0.9282 1
# Fermi-level density of states	0.510	states/eV per atom
# spin magnetization	0.0000	μB per atom

---

Most stable one: version a, least stable one: version b.